# RbTc3B (PBEsol, optimized geometry)
data_RbTc3B
_cell_length_a 4.286
_cell_length_b 4.286
_cell_length_c 4.286
_cell_angle_alpha 90.00
_cell_angle_beta 90.00
_cell_angle_gamma 90.00
_symmetry_space_group_name_H-M 'P m -3 m'
_symmetry_Int_Tables_number 221
_symmetry_space_group_name_Hall '-P 4 2 3'
loop_
_atom_site_label
_atom_site_fract_x
_atom_site_fract_y
_atom_site_fract_z
Rb1 0.000 0.000 0.000
Tc1 0.000 0.500 0.500
B1 0.500 0.500 0.500
# Raw total energy (eV/cell): -34.97


# RbTcB3 (PBEsol, optimized geometry)
data_RbTcB3
_cell_length_a 4.241
_cell_length_b 4.241
_cell_length_c 4.241
_cell_angle_alpha 90.00
_cell_angle_beta 90.00
_cell_angle_gamma 90.00
_symmetry_space_group_name_H-M 'P m -3 m'
_symmetry_Int_Tables_number 221
_symmetry_space_group_name_Hall '-P 4 2 3'
loop_
_atom_site_label
_atom_site_fract_x
_atom_site_fract_y
_atom_site_fract_z
Rb1 0.000 0.000 0.000
Tc1 0.500 0.500 0.500
B1 0.000 0.500 0.500
# Polymorph energy (0 for the lowest one) (meV/atom): 0
# Raw total energy (eV/cell): -29.11


# Rb2TiB2 (PBEsol, optimized geometry)
data_Rb2TiB2
_cell_length_a 4.013
_cell_length_b 4.013
_cell_length_c 12.970
_cell_angle_alpha 90.00
_cell_angle_beta 90.00
_cell_angle_gamma 90.00
_symmetry_space_group_name_H-M 'I 4/m m m'
_symmetry_Int_Tables_number 139
_symmetry_space_group_name_Hall '-I 4 2'
loop_
_atom_site_label
_atom_site_fract_x
_atom_site_fract_y
_atom_site_fract_z
Rb1 0.000 0.500 0.250
Ti1 0.000 0.000 0.000
B1 0.000 0.000 0.440
# Raw total energy (eV/cell): -35.42


# Rb3TlB (PBEsol, optimized geometry)
data_Rb3TlB
_cell_length_a 6.276
_cell_length_b 6.276
_cell_length_c 6.276
_cell_angle_alpha 90.00
_cell_angle_beta 90.00
_cell_angle_gamma 90.00
_symmetry_space_group_name_H-M 'P m -3 m'
_symmetry_Int_Tables_number 221
_symmetry_space_group_name_Hall '-P 4 2 3'
loop_
_atom_site_label
_atom_site_fract_x
_atom_site_fract_y
_atom_site_fract_z
Rb1 0.000 0.000 0.500
Tl1 0.500 0.500 0.500
B1 0.000 0.000 0.000
# Raw total energy (eV/cell): -8.28


# RbZrB3 (PBEsol, optimized geometry)
data_RbZrB3
_cell_length_a 4.288
_cell_length_b 4.288
_cell_length_c 4.288
_cell_angle_alpha 90.00
_cell_angle_beta 90.00
_cell_angle_gamma 90.00
_symmetry_space_group_name_H-M 'P m -3 m'
_symmetry_Int_Tables_number 221
_symmetry_space_group_name_Hall '-P 4 2 3'
loop_
_atom_site_label
_atom_site_fract_x
_atom_site_fract_y
_atom_site_fract_z
Rb1 0.000 0.000 0.000
Zr1 0.500 0.500 0.500
B1 0.000 0.000 0.500
# Raw total energy (eV/cell): -16.65


# Re7B3 (PBEsol, optimized geometry)
data_Re7B3
_cell_length_a 7.4933
_cell_length_b 7.4933
_cell_length_c 4.8853
_cell_angle_alpha 90.00
_cell_angle_beta 90.00
_cell_angle_gamma 120.00
_symmetry_space_group_name_H-M 'P 63 m c'
_symmetry_Int_Tables_number 186
_symmetry_space_group_name_Hall 'P 6c -2c'
loop_
_atom_site_label
_atom_site_fract_x
_atom_site_fract_y
_atom_site_fract_z
Re1 0.0916 0.5458 0.0000
Re2 0.1227 0.2455 0.7027
Re3 0.3333 0.6667 0.5379
B1 0.1898 0.3797 0.2911
# Raw total energy (eV/cell): -233.72


# Re3B (PBEsol, optimized geometry)
data_Re3B
_cell_length_a 2.887
_cell_length_b 9.340
_cell_length_c 7.289
_cell_angle_alpha 90.00
_cell_angle_beta 90.00
_cell_angle_gamma 90.00
_symmetry_space_group_name_H-M 'C m c m'
_symmetry_Int_Tables_number 63
_symmetry_space_group_name_Hall '-C 2c 2'
loop_
_atom_site_label
_atom_site_fract_x
_atom_site_fract_y
_atom_site_fract_z
Re1 0.000 0.076 0.250
Re2 0.000 0.367 0.065
B1 0.000 0.245 0.750
# Raw total energy (eV/cell): -191.72


# ReB2Ru (PBEsol, optimized geometry)
data_ReB2Ru
_cell_length_a 5.408
_cell_length_b 5.408
_cell_length_c 5.408
_cell_angle_alpha 90.00
_cell_angle_beta 90.00
_cell_angle_gamma 90.00
_symmetry_space_group_name_H-M 'F m -3 m'
_symmetry_Int_Tables_number 225
_symmetry_space_group_name_Hall '-F 4 2 3'
loop_
_atom_site_label
_atom_site_fract_x
_atom_site_fract_y
_atom_site_fract_z
Re1 0.000 0.000 0.000
B1 0.250 0.250 0.250
Ru1 0.000 0.000 0.500
# Raw total energy (eV/cell): -147.28


Number 1: energy of formation 1.374 eV/atom. Number 2: energy of formation 0.845 eV/atom. Number 3: energy of formation 1.340 eV/atom. Number 4: energy of formation 0.889 eV/atom. Number 5: energy of formation 2.902 eV/atom. Number 6: energy of formation -0.249 eV/atom. Number 7: energy of formation -0.230 eV/atom. Number 8: energy of formation 0.179 eV/atom.